No. 1
Computed, not measured: an optimized crystal structure of Ba3Sn11 at the PBE level of DFT.

Lattice parameters (Å, degrees): 5.277 9.818 9.818 72.01 74.41 74.41
Positions (direct):
1 Sn 0.858 0.418 0.866
2 Sn 0.858 0.866 0.418
3 Sn 0.341 0.297 0.021
4 Sn 0.142 0.134 0.582
5 Sn 0.142 0.582 0.134
6 Sn 0.659 0.979 0.703
7 Sn 0.500 0.699 0.301
8 Sn 0.659 0.703 0.979
9 Sn 0.341 0.021 0.297
10 Sn 0.500 0.301 0.699
11 Sn 0.000 0.500 0.500
12 Ba 0.309 0.691 0.691
13 Ba 0.000 0.000 0.000
14 Ba 0.691 0.309 0.309

Energy of formation, meV per atom: -344
Total moment, μB/f.u.: 0.000
Crystal system: orthorhombic
DOS(E_F), states/eV/atom: 0.4355
Energy, eV per cell: -54.6

***

No. 2
Computed, not measured: an optimized crystal structure of K4Ac3TaO8 at the PBE level of DFT.

Lattice parameters (Å, degrees): 7.457 7.802 7.457 118.56 120.00 90.00
Positions (direct):
1 Ac 0.000 0.500 0.500
2 Ac 0.500 0.500 0.000
3 Ac 0.500 0.500 0.500
4 O 0.210 0.330 0.020
5 O 0.265 0.295 0.530
6 O 0.810 0.330 0.620
7 O 0.790 0.670 0.980
8 O 0.810 0.330 0.020
9 O 0.190 0.670 0.980
10 O 0.190 0.670 0.380
11 O 0.735 0.705 0.470
12 K 0.000 0.000 0.500
13 K 0.500 0.000 0.000
14 K 0.500 0.000 0.500
15 K 0.000 0.000 0.000
16 Ta 0.000 0.500 0.000

Total moment, μB/f.u.: 0.000
Crystal system: trigonal
DOS(E_F), states/eV/atom: 0.1801
Uncorrected formation energy, kcal/mol of atoms: -54.4
Energy, eV per cell: -106.0

***

No. 3
Computed, not measured: an optimized crystal structure of Sr2YPb at the PBE level of DFT.

Lattice parameters (Å, degrees): 9.669 9.669 7.643 50.76 50.76 90.00
Positions (direct):
1 Y 0.250 0.750 0.500
2 Y 0.500 0.500 0.000
3 Pb 0.000 0.000 0.000
4 Pb 0.750 0.250 0.500
5 Sr 0.875 0.917 0.750
6 Sr 0.375 0.333 0.750
7 Sr 0.083 0.625 0.250
8 Sr 0.667 0.125 0.250

Energy of formation, meV per atom: 85
Total moment, μB/f.u.: 0.000
Crystal system: tetragonal
DOS(E_F), states/eV/atom: 0.7972
Energy, eV per cell: -26.4

***

No. 4
Computed, not measured: an optimized crystal structure of BTeRhAu at the PBE level of DFT.

Lattice parameters (Å, degrees): 3.535 3.535 6.216 90.00 90.00 120.00
Positions (direct):
1 Te 0.667 0.333 0.079
2 B 0.667 0.333 0.646
3 Rh 0.000 0.000 0.758
4 Au 0.333 0.667 0.442

Distance to the lowest polymorph of the same formula, meV/atom: 9
Total moment, μB/f.u.: 0.000
Crystal system: trigonal
DOS(E_F), states/eV/atom: 0.2742
Uncorrected formation energy, kcal/mol of atoms: 2.1
Energy, eV per cell: -20.1

***

Q: What is the energy in the first record?
A: -54.6 eV per cell

***

Q: What is the formula in the third record?
A: Sr2YPb